NpTlTc after structural relaxation, computed with GGA-PBE.

Its final energy is -7.325 eV/atom. As for the space group: F-43m.

a = 4.7175 Å, b = 4.7175 Å, c = 4.7175 Å
α = 60.00°, β = 60.00°, γ = 60.00°
Positions (direct):
Np: 0.2500 0.2500 0.2500
Tc: 0.7500 0.7500 0.7500
Tl: 0.0000 0.0000 0.0000


Li4MgGe2Ir after structural relaxation, computed with GGA-PBE.

Its final energy is -3.751 eV/atom. As for the space group: P-4m2.

a = 4.3567 Å, b = 4.3567 Å, c = 6.2073 Å
α = 90.00°, β = 90.00°, γ = 90.00°
Positions (direct):
Ge: 0.5000 0.0000 0.2203
Ge: 0.0000 0.5000 0.7797
Ir: 0.0000 0.0000 0.0000
Li: 0.5000 0.5000 0.0000
Li: 0.0000 0.5000 0.2287
Li: 0.0000 0.0000 0.5000
Li: 0.5000 0.0000 0.7713
Mg: 0.5000 0.5000 0.5000


Y2HoSn4Au4 after structural relaxation, computed with GGA-PBE.

Its final energy is -4.874 eV/atom. As for the space group: Immm.

a = 8.8200 Å, b = 8.8200 Å, c = 8.8200 Å
α = 149.84°, β = 131.46°, γ = 58.22°
Positions (direct):
Au: 0.9652 0.6702 0.2950
Au: 0.6248 0.3298 0.2950
Au: 0.0348 0.3298 0.7050
Au: 0.3752 0.6702 0.7050
Ho: 0.0000 0.0000 0.0000
Sn: 0.2119 0.2119 0.0000
Sn: 0.7881 0.7881 0.0000
Sn: 0.6985 0.5000 0.1985
Sn: 0.3015 0.5000 0.8015
Y: 0.6286 0.1286 0.5000
Y: 0.3714 0.8714 0.5000


CsPAuSeS2 after structural relaxation, computed with GGA-PBE.

Its final energy is -4.123 eV/atom. As for the space group: C2/m.

a = 7.4766 Å, b = 7.4766 Å, c = 8.0064 Å
α = 106.90°, β = 106.90°, γ = 59.57°
Positions (direct):
Au: 0.7704 0.2296 0.0000
Au: 0.2296 0.7704 0.0000
Cs: 0.2967 0.2967 0.2857
Cs: 0.7033 0.7033 0.7143
P: 0.9713 0.9713 0.3486
P: 0.0287 0.0287 0.6514
S: 0.8165 0.2819 0.3062
S: 0.2819 0.8165 0.3062
S: 0.7181 0.1835 0.6938
S: 0.1835 0.7181 0.6938
Se: 0.7954 0.7954 0.2370
Se: 0.2046 0.2046 0.7630


Sr2SnHg after structural relaxation, computed with GGA-PBE.

Its final energy is -2.575 eV/atom. As for the space group: Pmmn.

a = 8.0201 Å, b = 5.7013 Å, c = 11.4016 Å
α = 90.00°, β = 90.00°, γ = 90.00°
Positions (direct):
Hg: 0.2501 0.2500 0.1245
Hg: 0.7501 0.7500 0.3755
Hg: 0.2499 0.2500 0.6245
Hg: 0.7499 0.7500 0.8755
Sn: 0.7500 0.2500 0.1245
Sn: 0.2500 0.7500 0.3755
Sn: 0.7500 0.2500 0.6245
Sn: 0.2500 0.7500 0.8755
Sr: 0.0000 0.7500 0.1253
Sr: 0.5001 0.7500 0.1254
Sr: 0.0000 0.2500 0.3746
Sr: 0.5000 0.2500 0.3747
Sr: 0.5000 0.7500 0.6253
Sr: 0.0000 0.7500 0.6254
Sr: 0.4999 0.2500 0.8746
Sr: 0.0000 0.2500 0.8747


NdSmB2P2Ir2 after structural relaxation, computed with GGA-PBE.

Its final energy is -7.355 eV/atom. As for the space group: P4mm.

a = 4.0028 Å, b = 4.0028 Å, c = 8.4034 Å
α = 90.00°, β = 90.00°, γ = 90.00°
Positions (direct):
B: 0.0000 0.0000 0.3903
B: 0.5000 0.5000 0.6105
Ir: 0.5000 0.0000 0.4993
Ir: 0.0000 0.5000 0.4993
Nd: 0.0000 0.0000 0.8045
P: 0.0000 0.0000 0.1527
P: 0.5000 0.5000 0.8498
Sm: 0.5000 0.5000 0.1936


Nd2IBr2N after structural relaxation, computed with GGA-PBE.

Its final energy is -5.484 eV/atom. As for the space group: C2/m.

a = 9.3762 Å, b = 9.3762 Å, c = 11.9220 Å
α = 121.33°, β = 121.33°, γ = 25.24°
Positions (direct):
Br: 0.2157 0.2157 0.1129
Br: 0.9565 0.9565 0.2466
Br: 0.0435 0.0435 0.7534
Br: 0.7843 0.7843 0.8871
I: 0.3415 0.3415 0.4845
I: 0.6585 0.6585 0.5155
N: 0.5723 0.5723 0.1490
N: 0.4277 0.4277 0.8510
Nd: 0.4219 0.4219 0.0424
Nd: 0.1322 0.1322 0.2771
Nd: 0.8678 0.8678 0.7229
Nd: 0.5781 0.5781 0.9576


Hg4As3 after structural relaxation, computed with GGA-PBE.

Its final energy is -1.895 eV/atom. As for the space group: R-3m.

a = 11.6734 Å, b = 11.6734 Å, c = 11.6734 Å
α = 20.07°, β = 20.07°, γ = 20.07°
Positions (direct):
As: 0.0021 0.0021 0.0021
As: 0.4279 0.4279 0.4279
As: 0.5764 0.5764 0.5764
Hg: 0.1416 0.1416 0.1416
Hg: 0.2879 0.2879 0.2879
Hg: 0.7162 0.7162 0.7162
Hg: 0.8627 0.8627 0.8627